Computed, not measured: a relaxed structure of Rb3Ba3MoO8 at the GGA+U level of DFT.

Calculated values
DFT total energy, eV for the cell shown: -83.98
Theoretical density, g/cm³: 4.5
Symmetry: C2/m, No. 12

Cell lengths 7.6085, 7.6170, 7.9300 Å; angles 118.67, 89.93, 120.00 degrees
With the nearest neighbours (Å) after each atom.
Element x y z (fractional)
Rb 0.0000 0.0000 0.0000  6 O 2.92-2.95
Rb 0.0000 0.5000 0.0000  6 O 2.92-2.96
Rb 0.5000 0.5000 0.0000  6 O 2.92-2.96
Ba 0.5000 0.0000 0.5000  6 O 2.60-2.75
Ba 0.5000 0.5000 0.5000  6 O 2.60-2.75
Ba 0.0000 0.5000 0.5000  6 O 2.59-2.76
Mo 0.0000 0.0000 0.5000  6 O 1.99
O 0.2632 0.5268 0.2909  3 Ba 2.59-2.60
O 0.7368 0.4732 0.7091  3 Ba 2.59-2.60
O 0.8192 0.6383 0.3315  1 Mo 1.99
O 0.1808 0.3617 0.6685  1 Mo 1.99
O 0.8191 0.0126 0.3315  1 Mo 1.99
O 0.1809 0.9874 0.6685  1 Mo 1.99
O 0.1939 0.0127 0.3315  1 Mo 1.99
O 0.8061 0.9872 0.6685  1 Mo 1.99